This record from Alexandria via LeMat-Bulk describes a geometry-optimized Ca2MoSe structure. The functional is GGA-PBE.

Values from the calculation:
raw formation energy = -0.115 eV per atom
DOS(E_F) = 2.593 states/eV/f.u.

```
4
Lattice="-2.425 5.427 -0.750 -2.801 3.745 -3.745 -5.141 -0.338 0.836" Properties=species:S:1:pos:R:3 pbc="T T T"
Ca -7.651 6.804 -2.861
Ca -5.403 8.885 -4.312
Mo -5.413 4.871 -2.056
Se -2.309 1.863 -0.756
```